Entry 1:
# BeReSi2

A relaxed structure of BeReSi2 (PBE-GGA, the Alexandria database).

Lattice parameters (Å, degrees): 5.328 5.328 5.328 101.82 101.82 126.18
Element x y z (fractional)
1 Be 0.000 0.000 0.000
2 Be 0.750 0.250 0.500
3 Re 0.250 0.750 0.500
4 Re 0.500 0.500 0.000
5 Si 0.107 0.625 0.982
6 Si 0.375 0.357 0.482
7 Si 0.643 0.125 0.018
8 Si 0.875 0.893 0.518

Properties
- D(E_F): 0.762 states/eV per atom
- Formation energy from raw total energies: 599 meV per atom

Entry 2:
# HfAg3Ir

A relaxed structure of HfAg3Ir (PBE-GGA, the Alexandria database).

Lattice parameters (Å, degrees): 5.003 5.003 5.003 90.00 90.00 90.00
Element x y z (fractional)
1 Hf 0.000 0.000 0.000
2 Ag 0.000 0.000 0.500
3 Ag 0.000 0.500 0.000
4 Ag 0.500 0.000 0.000
5 Ir 0.500 0.500 0.500

Properties
- Energy of formation from the pure elements: 1978 meV per atom
- D(E_F): 1.651 states/eV per atom
- Relative energy among the computed polymorphs: 61.45 kJ/mol of atoms

Entry 3:
# GaMoSeBr2

A relaxed structure of GaMoSeBr2 (PBE-GGA, the Alexandria database).

Lattice parameters (Å, degrees): 5.102 5.102 5.173 90.00 90.00 90.00
Element x y z (fractional)
1 Ga 0.000 0.000 0.000
2 Mo 0.500 0.500 0.500
3 Se 0.000 0.000 0.500
4 Br 0.000 0.500 0.000
5 Br 0.500 0.000 0.000

Properties
- D(E_F): 0.543 states/eV per atom
- Relative energy among the computed polymorphs: 58.70 kJ/mol of atoms
- Formation energy from raw total energies: 553 meV per atom